PuPbAu4 | GGA-PBE | relaxed

## Properties
electronic total energy = -32.57 eV for the cell shown
total moment = 5.62 μB/cell
space group = F-43m
formation energy = -0.2367 eV/atom

```
PuPbAu4
1.0
0.000 4.033 4.033
4.033 0.000 4.033
4.033 4.033 0.000
Pu Pb Au
1 1 4
Cartesian
0.000 0.000 0.000
2.016 2.016 2.016
5.043 3.023 3.023
3.023 5.043 3.023
3.023 3.023 5.043
5.043 5.043 5.043
```

---

PuPb2Au | GGA-PBE | relaxed

## Properties
electronic total energy = -25.08 eV for the cell shown
energy relative to the lowest polymorph listed for this composition = 168.3 meV per atom
total moment = 6.32 μB/cell
space group = P4/mmm
formation energy = -0.0135 eV/atom

```
PuPb2Au
1.0
3.734 0.000 0.000
0.000 3.734 0.000
0.000 0.000 7.514
Pu Pb Au
1 2 1
Cartesian
0.000 0.000 0.000
1.867 1.867 2.136
1.867 1.867 5.378
0.000 0.000 3.757
```

---

Pu2PbAu | GGA-PBE | relaxed

## Properties
electronic total energy = -36.00 eV for the cell shown
total moment = 12.06 μB/cell
space group = R-3m
formation energy = -0.0866 eV/atom

```
Pu2PbAu
1.0
1.746 1.008 10.176
-1.746 1.008 10.176
0.000 -2.016 10.176
Pu Pb Au
2 1 1
Cartesian
0.000 0.000 7.432
0.000 0.000 23.097
0.000 0.000 0.000
0.000 0.000 15.265
```

---

Pu6PbAu5 | GGA-PBE | relaxed

## Properties
electronic total energy = -110.20 eV for the cell shown
total moment = 34.86 μB/cell
space group = C2/m
formation energy = -0.3430 eV/atom

```
Pu6PbAu5
1.0
7.613 -4.183 0.000
7.613 4.183 0.000
-1.498 0.000 4.569
Pu Pb Au
6 1 5
Cartesian
4.482 2.162 1.492
7.613 2.235 0.000
9.245 2.162 3.077
4.482 -2.162 1.492
7.613 -2.235 0.000
9.245 -2.162 3.077
6.864 0.000 2.284
-0.749 0.000 2.284
2.324 0.000 0.773
3.960 0.000 3.853
9.767 0.000 0.716
11.403 0.000 3.795
```